## a
NaZrBi2 | PBE-GGA | optimized geometry

Calculated values
**Total magnetic moment**: 0.000 μB per atom

Cell: 3.4479 3.4479 9.2036 Å, 90.00 90.00 90.00°
Sites, in units of the cell vectors:
Na: 0.0000 0.0000 0.0000
Zr: 0.0000 0.0000 0.5000
Bi: 0.5000 0.5000 0.2683
Bi: 0.5000 0.5000 0.7317



## b
NaZrBi2 | PBE-GGA | optimized geometry

Calculated values
**Total magnetic moment**: 0.000 μB per atom

Cell: 5.3324 5.3324 5.3324 Å, 60.00 60.00 60.00°
Sites, in units of the cell vectors:
Na: 0.0000 0.0000 0.0000
Zr: 0.5000 0.5000 0.5000
Bi: 0.2500 0.2500 0.2500
Bi: 0.7500 0.7500 0.7500



Most stable: a. Least stable: b.



## a
NaZrBi2 | PBE-GGA | optimized geometry

Calculated values
**Total magnetic moment**: 0.000 μB per atom

Cell: 9.0668 9.0668 9.0668 Å, 25.35 25.35 25.35°
Sites, in units of the cell vectors:
Na: 0.0000 0.0000 0.0000
Zr: 0.1664 0.1664 0.1664
Bi: 0.5748 0.5748 0.5748
Bi: 0.7582 0.7582 0.7582



## b
NaZrBi2 | PBE-GGA | optimized geometry

Calculated values
**Total magnetic moment**: 0.000 μB per atom

Cell: 5.6413 5.6413 3.3251 Å, 90.00 90.00 90.00°
Sites, in units of the cell vectors:
Na: 0.0000 0.0000 0.0000
Zr: 0.5000 0.5000 0.0000
Bi: 0.0000 0.5000 0.5000
Bi: 0.5000 0.0000 0.5000



Most stable: a. Least stable: b.



## a
Na3ZrBi | PBE-GGA | optimized geometry

Calculated values
**Total magnetic moment**: 0.607 μB per atom

Cell: 5.8484 5.8484 5.8484 Å, 90.00 90.00 90.00°
Sites, in units of the cell vectors:
Na: 0.0000 0.0000 0.5000
Na: 0.0000 0.5000 0.0000
Na: 0.5000 0.0000 0.0000
Zr: 0.0000 0.0000 0.0000
Bi: 0.5000 0.5000 0.5000



## b
Na3ZrBi | PBE-GGA | optimized geometry

Calculated values
**Total magnetic moment**: 0.575 μB per atom

Cell: 5.8551 5.8551 5.8551 Å, 90.00 90.00 90.00°
Sites, in units of the cell vectors:
Na: 0.0000 0.0000 0.5000
Na: 0.0000 0.5000 0.0000
Na: 0.5000 0.0000 0.0000
Zr: 0.5000 0.5000 0.5000
Bi: 0.0000 0.0000 0.0000



Most stable: b. Least stable: a.



## a
Nb2NiBi2 | PBE-GGA | optimized geometry

Calculated values
**Total magnetic moment**: 0.000 μB per atom

Cell: 6.8626 6.8626 4.4922 Å, 90.00 90.00 90.00°
Sites, in units of the cell vectors:
Nb: 0.1450 0.3550 0.0000
Nb: 0.3550 0.8550 0.0000
Nb: 0.6450 0.1450 0.0000
Nb: 0.8550 0.6450 0.0000
Ni: 0.0000 0.0000 0.0000
Ni: 0.5000 0.5000 0.0000
Bi: 0.1689 0.6689 0.5000
Bi: 0.3311 0.1689 0.5000
Bi: 0.6689 0.8311 0.5000
Bi: 0.8311 0.3311 0.5000



## b
Nb2NiBi2 | PBE-GGA | optimized geometry

Calculated values
**Total magnetic moment**: 0.000 μB per atom

Cell: 7.3994 7.3994 7.3994 Å, 146.78 146.78 47.69°
Sites, in units of the cell vectors:
Nb: 0.0870 0.0870 0.0000
Nb: 0.9130 0.9130 0.0000
Ni: 0.5000 0.5000 0.0000
Bi: 0.2500 0.7500 0.5000
Bi: 0.7500 0.2500 0.5000



Most stable: a. Least stable: b.